1.
This record from Alexandria describes a relaxed Re2HgAu crystal. The functional is PBE.

Results
crystal system	monoclinic

Geometry as CIF:
```
data_Re2HgAu
_chemical_formula_sum 'Re4 Hg2 Au2'
_space_group_name_H-M_alt 'C 1 m 1'
_space_group_IT_number 8
_space_group_name_Hall 'C -2y'
_cell_length_a 9.409
_cell_length_b 2.837
_cell_length_c 5.146
_cell_angle_alpha 90.00
_cell_angle_beta 98.82
_cell_angle_gamma 90.00
loop_
_atom_site_label
_atom_site_type_symbol
_atom_site_fract_x
_atom_site_fract_y
_atom_site_fract_z
Re1 Re 0.000 0.000 0.000
Re2 Re 0.235 0.500 0.177
Hg1 Hg 0.244 0.000 0.698
Au1 Au 0.487 0.000 0.467
```

---

2.
This record from Alexandria describes a relaxed Re2HgAu crystal. The functional is PBE.

Results
crystal system	orthorhombic

Geometry as CIF:
```
data_Re2HgAu
_chemical_formula_sum 'Re4 Hg2 Au2'
_space_group_name_H-M_alt 'C m m m'
_space_group_IT_number 65
_space_group_name_Hall '-C 2 2'
_cell_length_a 5.490
_cell_length_b 8.850
_cell_length_c 2.782
_cell_angle_alpha 90.00
_cell_angle_beta 90.00
_cell_angle_gamma 90.00
loop_
_atom_site_label
_atom_site_type_symbol
_atom_site_fract_x
_atom_site_fract_y
_atom_site_fract_z
Re1 Re 0.250 0.250 0.000
Hg1 Hg 0.000 0.000 0.500
Au1 Au 0.000 0.500 0.500
```

---

3.
This record from Alexandria describes a relaxed ReHg2Au crystal. The functional is PBE.

Results
crystal system	orthorhombic

Geometry as CIF:
```
data_ReHg2Au
_chemical_formula_sum 'Re2 Hg4 Au2'
_space_group_name_H-M_alt 'C m m 2'
_space_group_IT_number 35
_space_group_name_Hall 'C 2 -2'
_cell_length_a 2.878
_cell_length_b 5.190
_cell_length_c 10.358
_cell_angle_alpha 90.00
_cell_angle_beta 90.00
_cell_angle_gamma 90.00
loop_
_atom_site_label
_atom_site_type_symbol
_atom_site_fract_x
_atom_site_fract_y
_atom_site_fract_z
Re1 Re 0.000 0.000 0.000
Hg1 Hg 0.000 0.000 0.518
Hg2 Hg 0.000 0.500 0.244
Au1 Au 0.000 0.500 0.772
```

---

4.
This record from Alexandria describes a relaxed Re2HgAu crystal. The functional is PBE.

Results
crystal system	orthorhombic

Geometry as CIF:
```
data_Re2HgAu
_chemical_formula_sum 'Re4 Hg2 Au2'
_space_group_name_H-M_alt 'C m m m'
_space_group_IT_number 65
_space_group_name_Hall '-C 2 2'
_cell_length_a 2.869
_cell_length_b 4.785
_cell_length_c 10.004
_cell_angle_alpha 90.00
_cell_angle_beta 90.00
_cell_angle_gamma 90.00
loop_
_atom_site_label
_atom_site_type_symbol
_atom_site_fract_x
_atom_site_fract_y
_atom_site_fract_z
Re1 Re 0.000 0.000 0.246
Hg1 Hg 0.000 0.500 0.500
Au1 Au 0.000 0.500 0.000
```

---

5.
This record from Alexandria describes a relaxed Re2HgAu crystal. The functional is PBE.

Results
crystal system	trigonal

Geometry as CIF:
```
data_Re2HgAu
_chemical_formula_sum 'Re6 Hg3 Au3'
_space_group_name_H-M_alt 'R -3 m'
_space_group_IT_number 166
_space_group_name_Hall '-R 3 2"'
_cell_length_a 2.8588
_cell_length_b 2.8588
_cell_length_c 28.4793
_cell_angle_alpha 90.00
_cell_angle_beta 90.00
_cell_angle_gamma 120.00
loop_
_atom_site_label
_atom_site_type_symbol
_atom_site_fract_x
_atom_site_fract_y
_atom_site_fract_z
Re1 Re 0.0000 0.0000 0.2476
Hg1 Hg 0.0000 0.0000 0.0000
Au1 Au 0.0000 0.0000 0.5000
```

---

6.
This record from Alexandria describes a relaxed ReHg2Au crystal. The functional is PBE.

Results
crystal system	tetragonal

Geometry as CIF:
```
data_ReHg2Au
_chemical_formula_sum 'Re2 Hg4 Au2'
_space_group_name_H-M_alt 'I 4/m m m'
_space_group_IT_number 139
_space_group_name_Hall '-I 4 2'
_cell_length_a 4.293
_cell_length_b 4.293
_cell_length_c 8.243
_cell_angle_alpha 90.00
_cell_angle_beta 90.00
_cell_angle_gamma 90.00
loop_
_atom_site_label
_atom_site_type_symbol
_atom_site_fract_x
_atom_site_fract_y
_atom_site_fract_z
Re1 Re 0.000 0.000 0.000
Hg1 Hg 0.000 0.500 0.250
Au1 Au 0.000 0.000 0.500
```

---

7.
This record from Alexandria describes a relaxed ReHgAu2 crystal. The functional is PBE.

Results
crystal system	tetragonal

Geometry as CIF:
```
data_ReHgAu2
_chemical_formula_sum 'Re1 Hg1 Au2'
_space_group_name_H-M_alt 'P 4/m m m'
_space_group_IT_number 123
_space_group_name_Hall '-P 4 2'
_cell_length_a 2.859
_cell_length_b 2.859
_cell_length_c 8.793
_cell_angle_alpha 90.00
_cell_angle_beta 90.00
_cell_angle_gamma 90.00
loop_
_atom_site_label
_atom_site_type_symbol
_atom_site_fract_x
_atom_site_fract_y
_atom_site_fract_z
Re1 Re 0.000 0.000 0.000
Hg1 Hg 0.000 0.000 0.500
Au1 Au 0.500 0.500 0.228
```

---

8.
This record from Alexandria describes a relaxed ReHg2Au crystal. The functional is PBE.

Results
crystal system	trigonal

Geometry as CIF:
```
data_ReHg2Au
_chemical_formula_sum 'Re3 Hg6 Au3'
_space_group_name_H-M_alt 'R -3 m'
_space_group_IT_number 166
_space_group_name_Hall '-R 3 2"'
_cell_length_a 2.9721
_cell_length_b 2.9721
_cell_length_c 29.0822
_cell_angle_alpha 90.00
_cell_angle_beta 90.00
_cell_angle_gamma 120.00
loop_
_atom_site_label
_atom_site_type_symbol
_atom_site_fract_x
_atom_site_fract_y
_atom_site_fract_z
Re1 Re 0.0000 0.0000 0.0000
Hg1 Hg 0.0000 0.0000 0.2520
Au1 Au 0.0000 0.0000 0.5000
```

---

9.
This record from Alexandria describes a relaxed Re2Hg2Au crystal. The functional is PBE.

Results
crystal system	tetragonal

Geometry as CIF:
```
data_Re2Hg2Au
_chemical_formula_sum 'Re4 Hg4 Au2'
_space_group_name_H-M_alt 'I 4/m m m'
_space_group_IT_number 139
_space_group_name_Hall '-I 4 2'
_cell_length_a 3.902
_cell_length_b 3.902
_cell_length_c 13.260
_cell_angle_alpha 90.00
_cell_angle_beta 90.00
_cell_angle_gamma 90.00
loop_
_atom_site_label
_atom_site_type_symbol
_atom_site_fract_x
_atom_site_fract_y
_atom_site_fract_z
Re1 Re 0.000 0.000 0.085
Hg1 Hg 0.000 0.500 0.250
Au1 Au 0.000 0.000 0.500
```

---

10.
This record from Alexandria describes a relaxed Re2HgAu crystal. The functional is PBE.

Results
crystal system	monoclinic

Geometry as CIF:
```
data_Re2HgAu
_chemical_formula_sum 'Re4 Hg2 Au2'
_space_group_name_H-M_alt 'C 1 2/m 1'
_space_group_IT_number 12
_space_group_name_Hall '-C 2y'
_cell_length_a 9.709
_cell_length_b 2.879
_cell_length_c 4.881
_cell_angle_alpha 90.00
_cell_angle_beta 100.30
_cell_angle_gamma 90.00
loop_
_atom_site_label
_atom_site_type_symbol
_atom_site_fract_x
_atom_site_fract_y
_atom_site_fract_z
Re1 Re 0.247 0.000 0.243
Hg1 Hg 0.000 0.000 0.500
Au1 Au 0.000 0.500 0.000
```

---

11.
This record from Alexandria describes a relaxed ReHg2Au crystal. The functional is PBE.

Results
crystal system	orthorhombic

Geometry as CIF:
```
data_ReHg2Au
_chemical_formula_sum 'Re2 Hg4 Au2'
_space_group_name_H-M_alt 'I m m 2'
_space_group_IT_number 44
_space_group_name_Hall 'I 2 -2'
_cell_length_a 2.801
_cell_length_b 4.934
_cell_length_c 12.278
_cell_angle_alpha 90.00
_cell_angle_beta 90.00
_cell_angle_gamma 90.00
loop_
_atom_site_label
_atom_site_type_symbol
_atom_site_fract_x
_atom_site_fract_y
_atom_site_fract_z
Re1 Re 0.000 0.000 0.000
Hg1 Hg 0.000 0.000 0.493
Hg2 Hg 0.000 0.500 0.293
Au1 Au 0.000 0.500 0.693
```

---

12.
This record from Alexandria describes a relaxed ReHgAu2 crystal. The functional is PBE.

Results
crystal system	orthorhombic

Geometry as CIF:
```
data_ReHgAu2
_chemical_formula_sum 'Re1 Hg1 Au2'
_space_group_name_H-M_alt 'P m m m'
_space_group_IT_number 47
_space_group_name_Hall '-P 2 2'
_cell_length_a 2.811
_cell_length_b 4.180
_cell_length_c 6.124
_cell_angle_alpha 90.00
_cell_angle_beta 90.00
_cell_angle_gamma 90.00
loop_
_atom_site_label
_atom_site_type_symbol
_atom_site_fract_x
_atom_site_fract_y
_atom_site_fract_z
Re1 Re 0.000 0.000 0.000
Hg1 Hg 0.000 0.000 0.500
Au1 Au 0.500 0.500 0.229
```

---

13.
This record from Alexandria describes a relaxed Re2HgAu crystal. The functional is PBE.

Results
crystal system	tetragonal

Geometry as CIF:
```
data_Re2HgAu
_chemical_formula_sum 'Re2 Hg1 Au1'
_space_group_name_H-M_alt 'P 4/m m m'
_space_group_IT_number 123
_space_group_name_Hall '-P 4 2'
_cell_length_a 3.888
_cell_length_b 3.888
_cell_length_c 4.479
_cell_angle_alpha 90.00
_cell_angle_beta 90.00
_cell_angle_gamma 90.00
loop_
_atom_site_label
_atom_site_type_symbol
_atom_site_fract_x
_atom_site_fract_y
_atom_site_fract_z
Re1 Re 0.000 0.500 0.000
Hg1 Hg 0.000 0.000 0.500
Au1 Au 0.500 0.500 0.500
```

---

14.
This record from Alexandria describes a relaxed Re2HgAu crystal. The functional is PBE.

Results
crystal system	orthorhombic

Geometry as CIF:
```
data_Re2HgAu
_chemical_formula_sum 'Re4 Hg2 Au2'
_space_group_name_H-M_alt 'C m m 2'
_space_group_IT_number 35
_space_group_name_Hall 'C 2 -2'
_cell_length_a 2.919
_cell_length_b 4.760
_cell_length_c 10.171
_cell_angle_alpha 90.00
_cell_angle_beta 90.00
_cell_angle_gamma 90.00
loop_
_atom_site_label
_atom_site_type_symbol
_atom_site_fract_x
_atom_site_fract_y
_atom_site_fract_z
Re1 Re 0.000 0.000 0.000
Re2 Re 0.000 0.500 0.208
Hg1 Hg 0.000 0.500 0.732
Au1 Au 0.000 0.000 0.458
```

---

15.
This record from Alexandria describes a relaxed Re2HgAu crystal. The functional is PBE.

Results
crystal system	trigonal

Geometry as CIF:
```
data_Re2HgAu
_chemical_formula_sum 'Re6 Hg3 Au3'
_space_group_name_H-M_alt 'R 3 m'
_space_group_IT_number 160
_space_group_name_Hall 'R 3 -2"'
_cell_length_a 2.8652
_cell_length_b 2.8652
_cell_length_c 29.1726
_cell_angle_alpha 90.00
_cell_angle_beta 90.00
_cell_angle_gamma 120.00
loop_
_atom_site_label
_atom_site_type_symbol
_atom_site_fract_x
_atom_site_fract_y
_atom_site_fract_z
Re1 Re 0.0000 0.0000 0.0000
Re2 Re 0.0000 0.0000 0.2635
Hg1 Hg 0.0000 0.0000 0.7555
Au1 Au 0.0000 0.0000 0.5128
```

---

Table of Fermi-level density of states (states/eV/atom), in record order: 0.6426, 1.0987, 0.7965, 0.8949, 1.3021, 1.0204, 0.7891, 0.5815, 1.1643, 0.7426, 0.9564, 0.7844, 1.0921, 0.6413, 0.2506
Table of formation enthalpy at 0 K (eV per atom), in record order: 0.655, 0.916, 0.610, 0.854, 0.764, 0.894, 0.463, 0.572, 1.207, 0.730, 0.668, 0.586, 0.898, 0.474, 0.272